Below is MgPbSN2 at its PBEsol-relaxed geometry, with properties calculated at the SCAN level.

Cell and atoms, written as POSCAR:
```
MgPbSN2
1.0
4.1778 0.0000 0.0000
0.0000 4.1778 0.0000
0.0000 0.0000 4.9436
Mg Pb N S
1 1 2 1
Cartesian
0.0000 0.0000 0.0000 Mg
2.0889 2.0889 2.4718 Pb
0.0000 2.0889 0.0000 N
2.0889 0.0000 0.0000 N
0.0000 0.0000 2.4718 S
```

- Raw formation energy: 707.0 meV per atom

Below is KPNF2 at its PBEsol-relaxed geometry, with properties calculated at the SCAN level.

Cell and atoms, written as POSCAR:
```
KPNF2
1.0
-2.8689 -0.7981 -1.4682
-0.0759 -3.7903 2.2088
-2.2071 1.9422 3.2570
P F N K
1 2 1 1
Cartesian
0.0000 0.0000 0.0000 P
-1.1035 0.9711 1.6285 F
-0.0379 -1.8952 1.1044 F
-1.4344 -0.3991 -0.7341 N
-2.5759 -1.3231 1.9988 K
```

- Raw formation energy: -1305.3 meV per atom

Below is ScReSe2N at its PBEsol-relaxed geometry, with properties calculated at the SCAN level.

Cell and atoms, written as POSCAR:
```
ScReSe2N
1.0
-0.5949 -0.0323 3.6666
4.2253 -2.5940 0.6627
2.5546 4.2767 0.4522
Sc Re Se N
1 1 2 1
Cartesian
3.0925 0.8252 2.3908 Sc
0.0000 0.0000 0.0000 Re
2.1126 -1.2970 0.3314 Se
1.2773 2.1384 0.2261 Se
-0.2975 -0.0162 1.8333 N
```

- Raw formation energy: -236.6 meV per atom

Below is KRe2Te at its PBEsol-relaxed geometry, with properties calculated at the SCAN level.

Cell and atoms, written as POSCAR:
```
KRe2Te
1.0
4.6981 0.0000 0.0000
2.3490 4.0687 0.0000
2.3490 1.3562 3.8360
Re K Te
2 1 1
Cartesian
7.0471 4.0687 2.8770 Re
0.0000 0.0000 0.0000 Re
4.6981 2.7124 1.9180 K
2.3490 1.3562 0.9590 Te
```

- Raw formation energy: 1412.6 meV per atom

Below is Ba2TaTl at its PBEsol-relaxed geometry, with properties calculated at the SCAN level.

Cell and atoms, written as POSCAR:
```
Ba2TaTl
1.0
-0.2517 3.0770 -1.6748
0.9643 0.2502 -3.3681
-10.5608 -1.5650 -4.9712
Ta Ba Tl
1 2 1
Cartesian
-4.6551 0.9477 -4.9251 Ta
-6.8838 1.4461 -7.3575 Ba
0.3102 3.2276 -5.1656 Ba
-2.8311 0.3492 -2.6160 Tl
```

- E above lowest polymorph: 0.093 eV/atom
- DFT formation energy: 0.768 eV per atom

Below is Zn3B2O6 at its PBEsol-relaxed geometry, with properties calculated at the SCAN level.

Cell and atoms, written as POSCAR:
```
Zn3B2O6
1.0
5.0443 0.0000 0.0000
0.0000 8.4214 0.0394
-2.5222 -2.7799 11.5512
Zn B O
12 8 24
Cartesian
4.1543 1.2170 1.1662 Zn
1.6321 0.2138 10.4047 Zn
-0.9253 -1.0579 8.6207 Zn
1.5530 4.8220 4.8567 Zn
-1.6321 4.4246 10.4244 Zn
0.8900 5.4277 1.1859 Zn
-0.9692 5.0303 6.7537 Zn
3.4475 6.6994 2.9699 Zn
3.4913 0.6113 4.8370 Zn
1.5969 2.4887 2.9502 Zn
0.9692 0.8195 6.7340 Zn
0.9253 3.1529 8.6404 Zn
1.6251 -0.0473 1.5164 B
-0.8971 1.4781 10.0546 B
-0.9379 3.3327 4.3419 B
0.8971 5.6888 10.0743 B
0.9379 -0.8780 4.3222 B
3.4601 2.3088 7.2487 B
1.5842 6.5195 7.2684 B
3.4192 4.1635 1.5361 B
0.4402 3.3552 4.2731 O
-1.5321 2.4844 10.7345 O
-0.4388 5.7526 9.7143 O
2.0833 4.0997 1.8960 O
3.4465 4.3530 5.0071 O
1.5978 0.1423 4.9874 O
0.4388 1.5419 9.6946 O
2.0819 2.2863 7.3175 O
-1.6163 0.3561 9.6955 O
0.9901 7.3679 0.8759 O
-0.8830 3.3637 7.8219 O
1.6163 4.5669 9.7152 O
0.9243 5.4993 6.6033 O
1.5321 -1.7263 10.7148 O
4.1385 5.2854 1.8952 O
3.4051 2.2778 3.7688 O
2.9624 6.4971 7.3372 O
4.0542 3.1572 0.8562 O
-0.9243 1.2886 6.5836 O
2.9610 -0.1111 1.8763 O
0.9059 1.0747 1.8755 O
-0.4402 -0.8555 4.2534 O
1.6392 6.4885 3.7885 O
0.8830 -0.8470 7.8022 O
```

- E above lowest polymorph: 0.003 eV/atom
- Raw formation energy: -2078.2 meV per atom

Below is LaNdHg2 at its PBEsol-relaxed geometry, with properties calculated at the SCAN level.

Cell and atoms, written as POSCAR:
```
LaNdHg2
1.0
5.3707 0.0000 0.0000
2.6854 4.6512 0.0000
2.6854 1.5504 4.3852
Hg La Nd
2 1 1
Cartesian
2.6854 1.5504 1.0963 Hg
8.0561 4.6512 3.2889 Hg
5.3707 3.1008 2.1926 La
0.0000 0.0000 0.0000 Nd
```

- DFT formation energy: -0.691 eV per atom

Below is LiHRu2Cl at its PBEsol-relaxed geometry, with properties calculated at the SCAN level.

Cell and atoms, written as POSCAR:
```
LiHRu2Cl
1.0
4.2692 0.0000 0.0000
0.0000 4.2831 0.0000
0.0000 0.0000 4.2831
Ru Cl H Li
2 1 1 1
Cartesian
0.0000 0.0000 2.1415 Ru
0.0000 2.1415 0.0000 Ru
0.0000 0.0000 0.0000 Cl
2.1346 2.1415 2.1415 H
2.1346 0.0000 0.0000 Li
```

- Final energy: -77.33 eV per formula unit

Below is Li2LaIr at its PBEsol-relaxed geometry, with properties calculated at the SCAN level.

Cell and atoms, written as POSCAR:
```
Li2LaIr
1.0
2.8369 0.0102 0.0000
-1.2612 2.5411 0.0000
0.0000 0.0000 10.2242
Li Ir La
2 1 1
Cartesian
0.0000 0.0000 3.1166 Li
0.0000 0.0000 7.1075 Li
0.7878 1.2756 5.1121 Ir
0.7878 1.2756 0.0000 La
```

- E above lowest polymorph: 0.659 eV/atom
- DFT formation energy: 0.260 eV per atom

Below is Li8B2O7 at its PBEsol-relaxed geometry, with properties calculated at the SCAN level.

Cell and atoms, written as POSCAR:
```
Li8B2O7
1.0
7.1586 0.0045 0.0000
-2.5328 7.9023 0.0000
0.0000 0.0000 9.1214
O Li B
28 32 8
Cartesian
0.0561 2.2527 6.5241 O
-0.3659 6.4468 2.9088 O
-0.8452 5.0181 0.9813 O
3.7253 5.4111 7.4695 O
2.7399 6.2520 1.0991 O
0.4212 1.0670 3.5794 O
1.8858 1.6548 8.0223 O
4.5697 5.6541 2.5973 O
5.4710 2.8887 8.1401 O
-0.3514 3.3946 3.5364 O
-0.1748 7.9011 5.6230 O
0.9802 7.0619 7.6597 O
4.0063 2.3008 3.4616 O
0.9005 2.4956 1.6519 O
1.0916 3.9500 8.0591 O
2.2466 3.1107 6.0224 O
2.3792 4.7961 3.0990 O
-1.2103 6.2038 7.1580 O
4.8006 0.0057 3.4984 O
6.2436 0.5611 8.0971 O
0.6194 5.6060 5.6598 O
4.2046 6.8398 5.5420 O
3.5342 3.9568 1.0623 O
4.9772 4.5122 5.5850 O
4.9917 1.4600 6.2126 O
-1.6178 7.3457 1.0243 O
5.8361 1.7030 1.9634 O
3.6456 0.8449 1.4617 O
2.4011 0.2273 9.1135 Li
5.7241 2.8425 4.9921 Li
0.1681 1.1132 0.4314 Li
0.0698 5.6488 8.5762 Li
3.4911 3.7283 4.5528 Li
6.1313 0.5397 4.7981 Li
3.8056 1.0968 4.8416 Li
0.8202 6.8100 4.2798 Li
1.1347 4.1785 4.5686 Li
3.2798 0.9712 6.9956 Li
2.0866 2.8589 0.2809 Li
5.1621 3.6693 2.3798 Li
4.8649 4.4908 8.8840 Li
2.7941 7.3365 6.8256 Li
4.5560 2.2580 0.5452 Li
4.0605 3.3854 6.8565 Li
4.4577 6.7936 8.6900 Li
2.2247 7.6795 0.0079 Li
2.5392 5.0479 8.8405 Li
3.8957 7.6204 2.1809 Li
2.0134 4.9224 6.6865 Li
-0.2391 3.4160 0.2374 Li
-1.0983 5.0643 4.1293 Li
3.2896 6.2091 4.0155 Li
-0.5363 4.2375 6.7416 Li
1.8316 0.5703 2.2958 Li
0.7301 0.2864 6.9405 Li
1.3362 1.6977 5.1059 Li
0.5652 4.5214 2.2649 Li
2.6124 2.9844 2.4349 Li
1.3460 6.9356 2.1258 Li
-1.5055 7.3671 4.3233 Li
-1.3185 6.1312 1.8156 B
0.0849 6.6952 6.4864 B
1.3513 2.7441 7.1957 B
3.2744 5.1627 1.9257 B
4.5408 1.2116 2.6350 B
5.9442 1.7756 7.3058 B
4.6778 5.7268 6.3763 B
-0.0521 2.1800 2.7451 B
```

- Raw formation energy: -2327.3 meV per atom

Below is CuRe2NiSb at its PBEsol-relaxed geometry, with properties calculated at the SCAN level.

Cell and atoms, written as POSCAR:
```
CuRe2NiSb
1.0
-3.9732 -2.0583 0.2005
1.8061 -3.1823 3.1207
-1.2916 2.8490 3.6528
Re Cu Ni Sb
2 1 1 1
Cartesian
-0.6458 1.4245 1.8264 Re
0.9031 -1.5912 1.5604 Re
-1.9866 -1.0292 0.1003 Cu
-1.7293 -1.1958 3.4870 Ni
0.0000 0.0000 0.0000 Sb
```

- Raw formation energy: 2464.1 meV per atom

Below is AlCdW at its PBEsol-relaxed geometry, with properties calculated at the SCAN level.

Cell and atoms, written as POSCAR:
```
AlCdW
1.0
-0.7792 -2.5572 -0.9162
3.1016 -1.4229 1.3335
-3.3734 1.1441 4.0343
Al Cd W
1 1 1
Cartesian
-0.9877 -2.8118 4.3300 Al
0.4328 -2.2686 1.6057 Cd
-1.5472 -0.5917 2.9675 W
```

- DFT formation energy: 0.463 eV per atom

Below is SbW2Cl at its PBEsol-relaxed geometry, with properties calculated at the SCAN level.

Cell and atoms, written as POSCAR:
```
SbW2Cl
1.0
3.2825 0.0005 0.0000
-0.3736 4.6038 0.0000
-1.4545 -2.3021 4.7014
W Sb Cl
2 1 1
Cartesian
-0.7272 -1.1511 2.3507 W
0.7272 1.1511 2.3507 W
-0.1868 2.3019 0.0000 Sb
1.6412 0.0003 0.0000 Cl
```

- Raw formation energy: 1160.7 meV per atom

Below is Zr2ScZn at its PBEsol-relaxed geometry, with properties calculated at the SCAN level.

Cell and atoms, written as POSCAR:
```
Zr2ScZn
1.0
-1.5674 -3.8919 -0.0536
1.7050 -0.7385 3.7622
-3.7958 3.7889 0.1240
Zr Sc Zn
2 1 1
Cartesian
-2.6472 -1.2091 0.9624 Zr
-1.0110 0.3676 2.8703 Zr
0.0688 -2.3152 1.8543 Sc
0.0000 0.0000 0.0000 Zn
```

- DFT formation energy: -0.125 eV per atom

Below is TiReSiPd2 at its PBEsol-relaxed geometry, with properties calculated at the SCAN level.

Cell and atoms, written as POSCAR:
```
TiReSiPd2
1.0
-0.9645 -1.3364 4.2055
4.6638 -0.4638 0.9222
0.1590 4.5392 1.4789
Ti Re Pd Si
1 1 2 1
Cartesian
-0.4822 -0.6682 2.1027 Ti
0.0000 0.0000 0.0000 Re
0.0795 2.2696 0.7394 Pd
2.3319 -0.2319 0.4611 Pd
1.9291 1.3695 3.3033 Si
```

- Raw formation energy: 1203.0 meV per atom

Below is Ti2Si2Pd at its PBEsol-relaxed geometry, with properties calculated at the SCAN level.

Cell and atoms, written as POSCAR:
```
Ti2Si2Pd
1.0
3.7520 0.0000 0.0000
0.0000 6.2062 0.0000
0.0000 0.0000 6.2062
Si Pd Ti
4 2 4
Cartesian
0.0000 5.3859 3.9235 Si
0.0000 2.2828 5.3859 Si
0.0000 0.8203 2.2828 Si
0.0000 3.9235 0.8203 Si
0.0000 0.0000 0.0000 Pd
0.0000 3.1031 3.1031 Pd
1.8760 5.1595 2.0564 Ti
1.8760 4.1498 5.1595 Ti
1.8760 2.0564 1.0467 Ti
1.8760 1.0467 4.1498 Ti
```

- Raw formation energy: -836.6 meV per atom

Below is CoAgRu2O at its PBEsol-relaxed geometry, with properties calculated at the SCAN level.

Cell and atoms, written as POSCAR:
```
CoAgRu2O
1.0
4.2883 0.0000 0.0000
0.0000 4.2883 0.0000
0.0000 0.0000 4.6630
Ru Co O Ag
2 1 1 1
Cartesian
0.0000 2.1441 0.0000 Ru
2.1441 0.0000 0.0000 Ru
0.0000 0.0000 0.0000 Co
2.1441 2.1441 2.3315 O
0.0000 0.0000 2.3315 Ag
```

- Raw formation energy: 1759.1 meV per atom

Below is BeBi2C at its PBEsol-relaxed geometry, with properties calculated at the SCAN level.

Cell and atoms, written as POSCAR:
```
BeBi2C
1.0
-0.0868 -5.5772 -0.3202
3.9280 -0.2886 3.9627
-5.8089 2.7728 2.0214
Be C Bi
2 2 4
Cartesian
1.9206 -2.9329 1.8212 Be
-1.9875 -2.8687 1.7612 Be
0.0199 -0.2244 3.9027 C
0.0000 0.0000 0.0000 C
1.9540 -1.5377 3.8591 Bi
-0.0569 -4.4082 1.7047 Bi
-1.8763 -1.5924 3.8730 Bi
-3.9562 1.3522 1.8910 Bi
```

- DFT formation energy: 1.007 eV per atom

Below is TeBr at its PBEsol-relaxed geometry, with properties calculated at the SCAN level.

Cell and atoms, written as POSCAR:
```
TeBr
1.0
4.9181 0.0000 0.0000
2.4590 4.2592 0.0000
2.4590 1.4197 4.0156
Br Te
1 1
Cartesian
0.0000 0.0000 0.0000 Br
2.4590 1.4197 1.0039 Te
```

- Raw formation energy: 824.2 meV per atom

Below is Nb3MoSe8 at its PBEsol-relaxed geometry, with properties calculated at the SCAN level.

Cell and atoms, written as POSCAR:
```
Nb3MoSe8
1.0
3.3883 0.0000 0.0000
0.0000 5.8712 0.0302
0.0000 -2.0473 12.4918
Se Mo Nb
8 1 3
Cartesian
0.0000 -1.0851 10.8273 Se
0.0000 2.8995 4.5891 Se
1.6941 -0.0568 7.9589 Se
1.6941 -0.0391 4.5816 Se
1.6941 1.9062 10.8979 Se
1.6941 3.9375 1.6498 Se
0.0000 0.9430 1.6891 Se
0.0000 2.8790 7.9805 Se
0.0000 4.9239 0.0350 Mo
1.6941 3.8622 6.2966 Nb
1.6941 1.9257 0.0221 Nb
0.0000 0.9370 6.2775 Nb
```

- Raw formation energy: -843.4 meV per atom

Below is CuTc2PtF at its PBEsol-relaxed geometry, with properties calculated at the SCAN level.

Cell and atoms, written as POSCAR:
```
CuTc2PtF
1.0
3.9423 0.0000 0.0000
0.0000 3.9423 0.0000
0.0000 0.0000 4.2692
Tc Cu Pt F
2 1 1 1
Cartesian
1.9712 0.0000 0.0000 Tc
0.0000 1.9712 0.0000 Tc
0.0000 0.0000 2.1346 Cu
1.9712 1.9712 2.1346 Pt
0.0000 0.0000 0.0000 F
```

- Raw formation energy: 549.1 meV per atom

Below is CaInSn2Os at its PBEsol-relaxed geometry, with properties calculated at the SCAN level.

Cell and atoms, written as POSCAR:
```
CaInSn2Os
1.0
4.9946 0.0000 0.0000
0.0000 5.4018 0.0000
0.0000 0.0000 5.4018
Sn Os Ca In
2 1 1 1
Cartesian
0.0000 2.7009 0.0000 Sn
0.0000 0.0000 2.7009 Sn
2.4973 0.0000 0.0000 Os
2.4973 2.7009 2.7009 Ca
0.0000 0.0000 0.0000 In
```

- DFT formation energy: 0.966 eV per atom

Below is Cu2TeCl at its PBEsol-relaxed geometry, with properties calculated at the SCAN level.

Cell and atoms, written as POSCAR:
```
Cu2TeCl
1.0
3.2361 0.0000 0.0000
0.0000 3.8921 0.0000
0.0000 0.0000 6.3709
Cu Cl Te
2 1 1
Cartesian
0.0000 0.0000 0.0000 Cu
0.0000 1.9460 3.1855 Cu
1.6181 0.0000 3.1855 Cl
1.6181 1.9460 0.0000 Te
```

- E above lowest polymorph: 0.359 eV/atom
- Raw formation energy: 83.6 meV per atom